[1]
This record from Alexandria via LeMat-Bulk describes a PBEsol-optimized structure of ZnNi2Cl. The functional is meta-GGA SCAN.

Properties
**Symmetry**: F-43m (216)
**Fermi-level density of states**: 4.9 states/eV/cell
**Total moment**: 0.25 μB per cell
**Total energy**: -12.85 eV per atom
**Volume**: 51.9 Å³/cell
**Excess energy over the best structure of this formula in the dataset**: 555 meV per atom
**ΔE_f (raw)**: 0.61 eV/atom

```
data_ZnNi2Cl
_chemical_formula_sum 'Zn1 Ni2 Cl1'
_symmetry_space_group_name_H-M 'P 1'
_symmetry_Int_Tables_number 1
_cell_length_a 4.187
_cell_length_b 4.187
_cell_length_c 4.187
_cell_angle_alpha 60.00
_cell_angle_beta 60.00
_cell_angle_gamma 60.00
loop_
_symmetry_equiv_pos_as_xyz
'x,y,z'
loop_
_atom_site_label
_atom_site_type_symbol
_atom_site_fract_x
_atom_site_fract_y
_atom_site_fract_z
Cl1 Cl 0.500 0.500 0.500
Ni1 Ni 0.000 0.000 0.000
Ni2 Ni 0.250 0.250 0.250
Zn1 Zn 0.750 0.750 0.750
```

=====

[2]
This record from Alexandria via LeMat-Bulk describes a PBEsol-optimized structure of ZnNiCl2. The functional is meta-GGA SCAN.

Properties
**Symmetry**: F-43m (216)
**Fermi-level density of states**: 5.1 states/eV/cell
**Total moment**: 0.25 μB per cell
**Total energy**: -10.97 eV per atom
**Volume**: 63.9 Å³/cell
**Excess energy over the best structure of this formula in the dataset**: 868 meV per atom
**ΔE_f (raw)**: 0.44 eV/atom

```
data_ZnNiCl2
_chemical_formula_sum 'Zn1 Ni1 Cl2'
_symmetry_space_group_name_H-M 'P 1'
_symmetry_Int_Tables_number 1
_cell_length_a 4.488
_cell_length_b 4.488
_cell_length_c 4.488
_cell_angle_alpha 60.00
_cell_angle_beta 60.00
_cell_angle_gamma 60.00
loop_
_symmetry_equiv_pos_as_xyz
'x,y,z'
loop_
_atom_site_label
_atom_site_type_symbol
_atom_site_fract_x
_atom_site_fract_y
_atom_site_fract_z
Ni1 Ni 0.500 0.500 0.500
Zn1 Zn 0.250 0.250 0.250
Cl1 Cl 0.000 0.000 0.000
Cl2 Cl 0.750 0.750 0.750
```

=====

[3]
This record from Alexandria via LeMat-Bulk describes a PBEsol-optimized structure of ZnNi2Cl. The functional is meta-GGA SCAN.

Properties
**Symmetry**: R-3m (166)
**Fermi-level density of states**: 3.0 states/eV/cell
**Total moment**: 1.05 μB per cell
**Total energy**: -13.30 eV per atom
**Volume**: 50.8 Å³/cell
**Excess energy over the best structure of this formula in the dataset**: 112 meV per atom
**ΔE_f (raw)**: 0.16 eV/atom

```
data_ZnNi2Cl
_chemical_formula_sum 'Zn1 Ni2 Cl1'
_symmetry_space_group_name_H-M 'P 1'
_symmetry_Int_Tables_number 1
_cell_length_a 2.855
_cell_length_b 2.855
_cell_length_c 7.387
_cell_angle_alpha 78.86
_cell_angle_beta 78.86
_cell_angle_gamma 60.00
loop_
_symmetry_equiv_pos_as_xyz
'x,y,z'
loop_
_atom_site_label
_atom_site_type_symbol
_atom_site_fract_x
_atom_site_fract_y
_atom_site_fract_z
Cl1 Cl 0.000 0.000 0.000
Ni1 Ni 0.252 0.252 0.244
Ni2 Ni 0.748 0.748 0.756
Zn1 Zn 0.500 0.500 0.500
```

=====

[4]
This record from Alexandria via LeMat-Bulk describes a PBEsol-optimized structure of Zr2NiCl. The functional is meta-GGA SCAN.

Properties
**Symmetry**: P4/mmm (123)
**Fermi-level density of states**: 2.3 states/eV/cell
**Total moment**: 0.00 μB per cell
**Total energy**: -21.98 eV per atom
**Volume**: 68.8 Å³/cell
**Excess energy over the best structure of this formula in the dataset**: 22 meV per atom
**ΔE_f (raw)**: -0.59 eV/atom

```
data_Zr2NiCl
_chemical_formula_sum 'Zr2 Ni1 Cl1'
_symmetry_space_group_name_H-M 'P 1'
_symmetry_Int_Tables_number 1
_cell_length_a 3.634
_cell_length_b 3.629
_cell_length_c 5.215
_cell_angle_alpha 90.00
_cell_angle_beta 90.00
_cell_angle_gamma 90.00
loop_
_symmetry_equiv_pos_as_xyz
'x,y,z'
loop_
_atom_site_label
_atom_site_type_symbol
_atom_site_fract_x
_atom_site_fract_y
_atom_site_fract_z
Ni1 Ni 0.500 0.500 0.875
Zr1 Zr 0.000 0.000 0.875
Zr2 Zr 0.500 0.500 0.375
Cl1 Cl 0.000 0.000 0.375
```

=====

[5]
This record from Alexandria via LeMat-Bulk describes a PBEsol-optimized structure of Zr2NiCl. The functional is meta-GGA SCAN.

Properties
**Symmetry**: Fm-3m (225)
**Fermi-level density of states**: 2.8 states/eV/cell
**Total moment**: 0.00 μB per cell
**Total energy**: -21.65 eV per atom
**Volume**: 66.4 Å³/cell
**Excess energy over the best structure of this formula in the dataset**: 354 meV per atom
**ΔE_f (raw)**: -0.26 eV/atom

```
data_Zr2NiCl
_chemical_formula_sum 'Zr2 Ni1 Cl1'
_symmetry_space_group_name_H-M 'P 1'
_symmetry_Int_Tables_number 1
_cell_length_a 4.545
_cell_length_b 4.545
_cell_length_c 4.545
_cell_angle_alpha 60.00
_cell_angle_beta 60.00
_cell_angle_gamma 60.00
loop_
_symmetry_equiv_pos_as_xyz
'x,y,z'
loop_
_atom_site_label
_atom_site_type_symbol
_atom_site_fract_x
_atom_site_fract_y
_atom_site_fract_z
Ni1 Ni 0.500 0.500 0.500
Zr1 Zr 0.250 0.250 0.250
Zr2 Zr 0.750 0.750 0.750
Cl1 Cl 0.000 0.000 0.000
```

=====

[6]
This record from Alexandria via LeMat-Bulk describes a PBEsol-optimized structure of Zr2NiCl. The functional is meta-GGA SCAN.

Properties
**Symmetry**: Imm2 (44)
**Fermi-level density of states**: 2.8 states/eV/cell
**Total moment**: 0.00 μB per cell
**Total energy**: -21.92 eV per atom
**Volume**: 70.6 Å³/cell
**Excess energy over the best structure of this formula in the dataset**: 81 meV per atom
**ΔE_f (raw)**: -0.53 eV/atom

```
data_Zr2NiCl
_chemical_formula_sum 'Zr2 Ni1 Cl1'
_symmetry_space_group_name_H-M 'P 1'
_symmetry_Int_Tables_number 1
_cell_length_a 3.284
_cell_length_b 3.263
_cell_length_c 6.988
_cell_angle_alpha 103.50
_cell_angle_beta 103.59
_cell_angle_gamma 90.00
loop_
_symmetry_equiv_pos_as_xyz
'x,y,z'
loop_
_atom_site_label
_atom_site_type_symbol
_atom_site_fract_x
_atom_site_fract_y
_atom_site_fract_z
Ni1 Ni 0.204 0.704 0.409
Zr1 Zr 0.052 0.052 0.103
Zr2 Zr 0.791 0.291 0.582
Cl1 Cl 0.453 0.453 0.906
```

=====

[7]
This record from Alexandria via LeMat-Bulk describes a PBEsol-optimized structure of Zr2NiCl. The functional is meta-GGA SCAN.

Properties
**Symmetry**: Pmmm (47)
**Fermi-level density of states**: 2.1 states/eV/cell
**Total moment**: 0.00 μB per cell
**Total energy**: -22.00 eV per atom
**Volume**: 68.5 Å³/cell
**Excess energy over the best structure of this formula in the dataset**: 0 meV per atom
**ΔE_f (raw)**: -0.61 eV/atom

```
data_Zr2NiCl
_chemical_formula_sum 'Zr2 Ni1 Cl1'
_symmetry_space_group_name_H-M 'P 1'
_symmetry_Int_Tables_number 1
_cell_length_a 3.192
_cell_length_b 4.126
_cell_length_c 5.200
_cell_angle_alpha 90.00
_cell_angle_beta 90.00
_cell_angle_gamma 90.00
loop_
_symmetry_equiv_pos_as_xyz
'x,y,z'
loop_
_atom_site_label
_atom_site_type_symbol
_atom_site_fract_x
_atom_site_fract_y
_atom_site_fract_z
Ni1 Ni 0.875 0.500 0.500
Zr1 Zr 0.875 0.500 0.000
Zr2 Zr 0.375 0.000 0.500
Cl1 Cl 0.375 0.000 0.000
```

=====

[8]
This record from Alexandria via LeMat-Bulk describes a PBEsol-optimized structure of ZrNiCl3. The functional is meta-GGA SCAN.

Properties
**Symmetry**: Pm-3m (221)
**Fermi-level density of states**: 2.1 states/eV/cell
**Total moment**: 2.12 μB per cell
**Total energy**: -14.53 eV per atom
**Volume**: 92.1 Å³/cell
**Excess energy over the best structure of this formula in the dataset**: 108 meV per atom
**ΔE_f (raw)**: -0.37 eV/atom

```
data_ZrNiCl3
_chemical_formula_sum 'Zr1 Ni1 Cl3'
_symmetry_space_group_name_H-M 'P 1'
_symmetry_Int_Tables_number 1
_cell_length_a 4.515
_cell_length_b 4.515
_cell_length_c 4.515
_cell_angle_alpha 90.00
_cell_angle_beta 90.00
_cell_angle_gamma 90.00
loop_
_symmetry_equiv_pos_as_xyz
'x,y,z'
loop_
_atom_site_label
_atom_site_type_symbol
_atom_site_fract_x
_atom_site_fract_y
_atom_site_fract_z
Ni1 Ni 0.000 0.000 0.000
Zr1 Zr 0.500 0.500 0.500
Cl1 Cl 0.000 0.500 0.000
Cl2 Cl 0.000 0.000 0.500
Cl3 Cl 0.500 0.000 0.000
```

=====

[9]
This record from Alexandria via LeMat-Bulk describes a PBEsol-optimized structure of ZrNiCl3. The functional is meta-GGA SCAN.

Properties
**Symmetry**: Pm-3m (221)
**Fermi-level density of states**: 12.0 states/eV/cell
**Total moment**: 2.21 μB per cell
**Total energy**: -14.64 eV per atom
**Volume**: 119.8 Å³/cell
**Excess energy over the best structure of this formula in the dataset**: 0 meV per atom
**ΔE_f (raw)**: -0.48 eV/atom

```
data_ZrNiCl3
_chemical_formula_sum 'Zr1 Ni1 Cl3'
_symmetry_space_group_name_H-M 'P 1'
_symmetry_Int_Tables_number 1
_cell_length_a 4.930
_cell_length_b 4.930
_cell_length_c 4.930
_cell_angle_alpha 90.00
_cell_angle_beta 90.00
_cell_angle_gamma 90.00
loop_
_symmetry_equiv_pos_as_xyz
'x,y,z'
loop_
_atom_site_label
_atom_site_type_symbol
_atom_site_fract_x
_atom_site_fract_y
_atom_site_fract_z
Ni1 Ni 0.500 0.500 0.500
Zr1 Zr 0.000 0.000 0.000
Cl1 Cl 0.000 0.500 0.000
Cl2 Cl 0.000 0.000 0.500
Cl3 Cl 0.500 0.000 0.000
```

=====

[10]
This record from Alexandria via LeMat-Bulk describes a PBEsol-optimized structure of NpCl4. The functional is meta-GGA SCAN.

Properties
**Symmetry**: I4_1/amd (141)
**Fermi-level density of states**: 9.5 states/eV/cell
**Total moment**: 6.00 μB per cell
**Total energy**: -29.55 eV per atom
**Volume**: 248.7 Å³/cell
**ΔE_f (raw)**: -1.76 eV/atom

```
data_NpCl4
_chemical_formula_sum 'Np2 Cl8'
_symmetry_space_group_name_H-M 'P 1'
_symmetry_Int_Tables_number 1
_cell_length_a 6.874
_cell_length_b 6.874
_cell_length_c 6.874
_cell_angle_alpha 107.09
_cell_angle_beta 107.09
_cell_angle_gamma 114.34
loop_
_symmetry_equiv_pos_as_xyz
'x,y,z'
loop_
_atom_site_label
_atom_site_type_symbol
_atom_site_fract_x
_atom_site_fract_y
_atom_site_fract_z
Np1 Np 0.250 0.750 0.500
Np2 Np 0.000 0.000 0.000
Cl1 Cl 0.931 0.245 0.313
Cl2 Cl 0.868 0.681 0.187
Cl3 Cl 0.382 0.069 0.313
Cl4 Cl 0.319 0.505 0.187
Cl5 Cl 0.319 0.132 0.813
Cl6 Cl 0.755 0.069 0.687
Cl7 Cl 0.931 0.618 0.687
Cl8 Cl 0.495 0.681 0.813
```

=====

[11]
This record from Alexandria via LeMat-Bulk describes a PBEsol-optimized structure of OsCl2O. The functional is meta-GGA SCAN.

Properties
**Symmetry**: I-42d (122)
**Fermi-level density of states**: 4.3 states/eV/cell
**Total moment**: 0.84 μB per cell
**Total energy**: -22.50 eV per atom
**Volume**: 128.3 Å³/cell
**Excess energy over the best structure of this formula in the dataset**: 1737 meV per atom
**ΔE_f (raw)**: 1.01 eV/atom

```
data_OsCl2O
_chemical_formula_sum 'Os2 Cl4 O2'
_symmetry_space_group_name_H-M 'P 1'
_symmetry_Int_Tables_number 1
_cell_length_a 5.541
_cell_length_b 5.541
_cell_length_c 5.541
_cell_angle_alpha 99.90
_cell_angle_beta 114.46
_cell_angle_gamma 114.46
loop_
_symmetry_equiv_pos_as_xyz
'x,y,z'
loop_
_atom_site_label
_atom_site_type_symbol
_atom_site_fract_x
_atom_site_fract_y
_atom_site_fract_z
Os1 Os 0.000 0.000 0.000
Os2 Os 0.500 0.750 0.250
O1 O 0.000 0.500 0.500
O2 O 0.500 0.250 0.750
Cl1 Cl 0.984 0.875 0.359
Cl2 Cl 0.016 0.375 0.891
Cl3 Cl 0.516 0.641 0.625
Cl4 Cl 0.484 0.109 0.125
```

=====

[12]
This record from Alexandria via LeMat-Bulk describes a PBEsol-optimized structure of OsCl4O. The functional is meta-GGA SCAN.

Properties
**Symmetry**: P2_1/c (14)
**Total moment**: 0.00 μB per cell
**Total energy**: -18.89 eV per atom
**Volume**: 614.6 Å³/cell
**ΔE_f (raw)**: -0.56 eV/atom

```
data_OsCl4O
_chemical_formula_sum 'Os4 Cl16 O4'
_symmetry_space_group_name_H-M 'P 1'
_symmetry_Int_Tables_number 1
_cell_length_a 5.704
_cell_length_b 9.466
_cell_length_c 12.057
_cell_angle_alpha 109.26
_cell_angle_beta 90.00
_cell_angle_gamma 90.00
loop_
_symmetry_equiv_pos_as_xyz
'x,y,z'
loop_
_atom_site_label
_atom_site_type_symbol
_atom_site_fract_x
_atom_site_fract_y
_atom_site_fract_z
Os1 Os 0.382 0.769 0.029
Os2 Os 0.618 0.231 0.971
Os3 Os 0.882 0.231 0.471
Os4 Os 0.118 0.769 0.529
Cl1 Cl 0.664 0.733 0.891
Cl2 Cl 0.751 0.303 0.823
Cl3 Cl 0.249 0.697 0.177
Cl4 Cl 0.164 0.267 0.609
Cl5 Cl 0.746 0.454 0.587
Cl6 Cl 0.667 0.886 0.156
Cl7 Cl 0.833 0.886 0.656
Cl8 Cl 0.749 0.303 0.323
Cl9 Cl 0.836 0.733 0.391
Cl10 Cl 0.251 0.697 0.677
Cl11 Cl 0.246 0.546 0.913
Cl12 Cl 0.754 0.454 0.087
Cl13 Cl 0.336 0.267 0.109
Cl14 Cl 0.167 0.114 0.344
Cl15 Cl 0.254 0.546 0.413
Cl16 Cl 0.333 0.114 0.844
O1 O 0.698 0.100 0.485
O2 O 0.802 0.100 0.985
O3 O 0.198 0.900 0.015
O4 O 0.302 0.900 0.515
```